A.
First-principles (GGA-PBEsol) data for Te2IrBr after structural relaxation, as listed in the Alexandria database.

Cell and atoms, written as POSCAR:
```
Te2IrBr
1.0
5.1509 0.0000 0.0000
0.0000 5.1509 0.0000
0.0000 0.0000 3.1339
Te Ir Br
2 1 1
direct
0.0000 0.5000 0.0000
0.5000 0.0000 0.0000
0.0000 0.0000 0.5000
0.5000 0.5000 0.5000
```

Crystal system: tetragonal
Calculated volume (Å³ per atom): 20.787

=====

B.
First-principles (GGA-PBEsol) data for Te2IrBr after structural relaxation, as listed in the Alexandria database.

Cell and atoms, written as POSCAR:
```
Te2IrBr
1.0
3.2248 0.0000 0.0000
0.0000 5.0494 0.0000
0.0000 0.0000 11.5533
Te Ir Br
4 2 2
direct
0.0000 0.0000 0.1851
0.0000 0.0000 0.8149
0.5000 0.5000 0.3149
0.5000 0.5000 0.6851
0.0000 0.5000 0.5000
0.5000 0.0000 0.0000
0.0000 0.5000 0.0000
0.5000 0.0000 0.5000
```

Crystal system: orthorhombic
Calculated volume (Å³ per atom): 23.516

=====

Ordering by calculated energy gives the sequence B, A, with the first entry being the most stable.

=====

A.
First-principles (GGA-PBEsol) data for TlIr2Cl after structural relaxation, as listed in the Alexandria database.

Cell and atoms, written as POSCAR:
```
TlIr2Cl
1.0
7.9386 0.0000 0.0000
0.0000 2.8316 0.0000
-2.1305 0.0000 7.6257
Tl Ir Cl
2 4 2
direct
0.0000 0.0000 0.0000
0.5000 0.5000 0.0000
0.1578 0.5000 0.7347
0.3480 0.0000 0.6019
0.6578 0.0000 0.7347
0.8480 0.5000 0.6019
0.3438 0.0000 0.3146
0.8438 0.5000 0.3146
```

Crystal system: monoclinic
Calculated volume (Å³ per atom): 21.428

=====

B.
First-principles (GGA-PBEsol) data for TlIr2Cl after structural relaxation, as listed in the Alexandria database.

Cell and atoms, written as POSCAR:
```
TlIr2Cl
1.0
2.9776 0.0000 0.0000
0.0000 2.9776 0.0000
0.0000 0.0000 7.3569
Tl Ir Cl
1 2 1
direct
0.0000 0.0000 0.0000
0.5000 0.5000 0.2639
0.5000 0.5000 0.7361
0.0000 0.0000 0.5000
```

Crystal system: tetragonal
Calculated volume (Å³ per atom): 16.306

=====

Ordering by calculated energy gives the sequence A, B, with the first entry being the most stable.

=====

A.
First-principles (GGA-PBEsol) data for TaCo6Mo after structural relaxation, as listed in the Alexandria database.

Cell and atoms, written as POSCAR:
```
TaCo6Mo
1.0
3.5599 -5.0354 0.0000
3.5599 5.0354 0.0000
0.0000 0.0000 10.0788
Ta Co Mo
4 24 4
direct
0.0000 0.0000 0.2495
0.0000 0.0000 0.7505
0.2486 0.7514 0.0000
0.7514 0.2486 0.0000
0.0000 0.0000 0.0000
0.0000 0.0000 0.5000
0.1273 0.3797 0.3774
0.1273 0.3797 0.6226
0.1300 0.3778 0.1275
0.1300 0.3778 0.8725
0.2523 0.7477 0.2540
0.2523 0.7477 0.7460
0.3778 0.1300 0.1275
0.3778 0.1300 0.8725
0.3797 0.1273 0.3774
0.3797 0.1273 0.6226
0.5000 0.5000 0.0000
0.5000 0.5000 0.5000
0.6203 0.8727 0.3774
0.6203 0.8727 0.6226
0.6222 0.8700 0.1275
0.6222 0.8700 0.8725
0.7477 0.2523 0.2540
0.7477 0.2523 0.7460
0.8700 0.6222 0.1275
0.8700 0.6222 0.8725
0.8727 0.6203 0.3774
0.8727 0.6203 0.6226
0.2487 0.7513 0.5000
0.5000 0.5000 0.2491
0.5000 0.5000 0.7509
0.7513 0.2487 0.5000
```

Crystal system: orthorhombic
Calculated volume (Å³ per atom): 11.292

=====

B.
First-principles (GGA-PBEsol) data for TaCo6Mo after structural relaxation, as listed in the Alexandria database.

Cell and atoms, written as POSCAR:
```
TaCo6Mo
1.0
5.0629 0.0000 0.0000
-2.5315 4.3846 0.0000
0.0000 0.0000 4.0565
Ta Co Mo
1 6 1
direct
0.0000 0.0000 0.0000
0.3520 0.1760 0.5000
0.5051 0.0101 0.0000
0.5051 0.4949 0.0000
0.8240 0.1760 0.5000
0.8240 0.6480 0.5000
0.9899 0.4949 0.0000
0.3333 0.6667 0.5000
```

Crystal system: hexagonal
Calculated volume (Å³ per atom): 11.256

=====

Ordering by calculated energy gives the sequence B, A, with the first entry being the most stable.

=====

A.
First-principles (GGA-PBEsol) data for IrRu after structural relaxation, as listed in the Alexandria database.

Cell and atoms, written as POSCAR:
```
IrRu
1.0
2.7080 0.0000 0.0000
-1.3540 2.3452 0.0000
0.0000 0.0000 4.3073
Ir Ru
1 1
direct
0.0000 0.0000 0.0000
0.3333 0.6667 0.5000
```

Crystal system: hexagonal
Calculated volume (Å³ per atom): 13.678

=====

B.
First-principles (GGA-PBEsol) data for IrRu after structural relaxation, as listed in the Alexandria database.

Cell and atoms, written as POSCAR:
```
IrRu
1.0
4.3005 0.0000 0.0000
0.0000 2.7056 0.0000
0.0000 0.0000 4.6961
Ir Ru
2 2
direct
0.2500 0.0000 0.1680
0.7500 0.0000 0.8320
0.2500 0.5000 0.6656
0.7500 0.5000 0.3344
```

Crystal system: orthorhombic
Calculated volume (Å³ per atom): 13.660

=====

Ordering by calculated energy gives the sequence B, A, with the first entry being the most stable.

=====

A.
First-principles (GGA-PBEsol) data for MgSbBr2 after structural relaxation, as listed in the Alexandria database.

Cell and atoms, written as POSCAR:
```
MgSbBr2
1.0
3.4983 0.0000 0.0000
0.0000 4.6850 0.0000
0.0000 0.0000 6.0826
Mg Sb Br
1 1 2
direct
0.0000 0.0000 0.0000
0.5000 0.0000 0.5000
0.0000 0.5000 0.5000
0.5000 0.5000 0.0000
```

Crystal system: orthorhombic
Calculated volume (Å³ per atom): 24.923

=====

B.
First-principles (GGA-PBEsol) data for MgSbBr2 after structural relaxation, as listed in the Alexandria database.

Cell and atoms, written as POSCAR:
```
MgSbBr2
1.0
4.7952 0.0000 0.0000
0.0000 4.7952 0.0000
0.0000 0.0000 4.3184
Mg Sb Br
1 1 2
direct
0.0000 0.0000 0.0000
0.5000 0.5000 0.0000
0.0000 0.5000 0.5000
0.5000 0.0000 0.5000
```

Crystal system: tetragonal
Calculated volume (Å³ per atom): 24.824

=====

Ordering by calculated energy gives the sequence A, B, with the first entry being the most stable.

=====

A.
First-principles (GGA-PBEsol) data for Sc2BeHg after structural relaxation, as listed in the Alexandria database.

Cell and atoms, written as POSCAR:
```
Sc2BeHg
1.0
3.2733 0.0000 0.0000
0.0000 3.2733 0.0000
0.0000 0.0000 6.7413
Sc Be Hg
2 1 1
direct
0.0000 0.0000 0.2207
0.0000 0.0000 0.7793
0.5000 0.5000 0.0000
0.5000 0.5000 0.5000
```

Crystal system: tetragonal
Calculated volume (Å³ per atom): 18.057

=====

B.
First-principles (GGA-PBEsol) data for Sc2BeHg after structural relaxation, as listed in the Alexandria database.

Cell and atoms, written as POSCAR:
```
Sc2BeHg
1.0
6.6012 0.0000 0.0000
0.0000 6.6012 0.0000
0.0000 0.0000 6.6012
Sc Be Hg
8 4 4
direct
0.0000 0.0000 0.0000
0.0000 0.5000 0.5000
0.2500 0.2500 0.2500
0.2500 0.7500 0.7500
0.5000 0.0000 0.5000
0.5000 0.5000 0.0000
0.7500 0.2500 0.7500
0.7500 0.7500 0.2500
0.0000 0.0000 0.5000
0.0000 0.5000 0.0000
0.5000 0.0000 0.0000
0.5000 0.5000 0.5000
0.2500 0.2500 0.7500
0.2500 0.7500 0.2500
0.7500 0.2500 0.2500
0.7500 0.7500 0.7500
```

Crystal system: cubic
Calculated volume (Å³ per atom): 17.978

=====

Ordering by calculated energy gives the sequence A, B, with the first entry being the most stable.

=====

A.
First-principles (GGA-PBEsol) data for ZrSc2Cd after structural relaxation, as listed in the Alexandria database.

Cell and atoms, written as POSCAR:
```
ZrSc2Cd
1.0
4.3218 0.0000 0.0000
0.0000 4.3218 0.0000
0.0000 0.0000 9.1947
Zr Sc Cd
2 4 2
direct
0.0000 0.0000 0.0000
0.5000 0.5000 0.5000
0.0000 0.0000 0.5000
0.0000 0.5000 0.7500
0.5000 0.0000 0.2500
0.5000 0.5000 0.0000
0.0000 0.5000 0.2500
0.5000 0.0000 0.7500
```

Crystal system: tetragonal
Calculated volume (Å³ per atom): 21.467

=====

B.
First-principles (GGA-PBEsol) data for ZrSc2Cd after structural relaxation, as listed in the Alexandria database.

Cell and atoms, written as POSCAR:
```
ZrSc2Cd
1.0
4.4146 0.0000 0.0000
0.0000 4.4146 0.0000
0.0000 0.0000 8.7995
Zr Sc Cd
2 4 2
direct
0.0000 0.0000 0.0000
0.5000 0.5000 0.5000
0.0000 0.5000 0.2500
0.0000 0.5000 0.7500
0.5000 0.0000 0.2500
0.5000 0.0000 0.7500
0.0000 0.0000 0.5000
0.5000 0.5000 0.0000
```

Crystal system: tetragonal
Calculated volume (Å³ per atom): 21.437

=====

Ordering by calculated energy gives the sequence A, B, with the first entry being the most stable.

=====

A.
First-principles (GGA-PBEsol) data for SiPAu2 after structural relaxation, as listed in the Alexandria database.

Cell and atoms, written as POSCAR:
```
SiPAu2
1.0
6.0554 0.0000 0.0000
0.0000 6.0554 0.0000
0.0000 0.0000 8.7881
Si P Au
4 4 8
direct
0.0000 0.0000 0.0000
0.0000 0.5000 0.2500
0.5000 0.0000 0.7500
0.5000 0.5000 0.5000
0.0000 0.0000 0.5000
0.0000 0.5000 0.7500
0.5000 0.0000 0.2500
0.5000 0.5000 0.0000
0.2469 0.7500 0.6250
0.2500 0.2469 0.3750
0.2500 0.2531 0.8750
0.2531 0.7500 0.1250
0.7469 0.2500 0.1250
0.7500 0.7469 0.8750
0.7500 0.7531 0.3750
0.7531 0.2500 0.6250
```

Crystal system: tetragonal
Calculated volume (Å³ per atom): 20.140

=====

B.
First-principles (GGA-PBEsol) data for SiPAu2 after structural relaxation, as listed in the Alexandria database.

Cell and atoms, written as POSCAR:
```
SiPAu2
1.0
4.1645 0.0000 0.0000
0.0000 4.1645 0.0000
0.0000 0.0000 3.7510
Si P Au
1 1 2
direct
0.0000 0.0000 0.0000
0.5000 0.5000 0.0000
0.0000 0.5000 0.5000
0.5000 0.0000 0.5000
```

Crystal system: tetragonal
Calculated volume (Å³ per atom): 16.264

=====

Ordering by calculated energy gives the sequence A, B, with the first entry being the most stable.

=====

A.
First-principles (GGA-PBEsol) data for CoMo2Ir after structural relaxation, as listed in the Alexandria database.

Cell and atoms, written as POSCAR:
```
CoMo2Ir
1.0
8.9631 0.0000 0.0000
0.0000 2.7165 0.0000
-0.8397 0.0000 4.4959
Co Mo Ir
2 4 2
direct
0.0000 0.0000 0.0000
0.5000 0.5000 0.0000
0.2468 0.5000 0.2447
0.2532 0.0000 0.7553
0.7468 0.0000 0.2447
0.7532 0.5000 0.7553
0.0000 0.5000 0.5000
0.5000 0.0000 0.5000
```

Crystal system: monoclinic
Calculated volume (Å³ per atom): 13.683

=====

B.
First-principles (GGA-PBEsol) data for CoMo2Ir after structural relaxation, as listed in the Alexandria database.

Cell and atoms, written as POSCAR:
```
CoMo2Ir
1.0
5.3265 0.0000 0.0000
0.0000 7.6056 0.0000
0.0000 0.0000 2.6919
Co Mo Ir
2 4 2
direct
0.0000 0.0000 0.0000
0.5000 0.5000 0.0000
0.2500 0.2500 0.5000
0.2500 0.7500 0.5000
0.7500 0.2500 0.5000
0.7500 0.7500 0.5000
0.0000 0.5000 0.0000
0.5000 0.0000 0.0000
```

Crystal system: orthorhombic
Calculated volume (Å³ per atom): 13.631

=====

Ordering by calculated energy gives the sequence B, A, with the first entry being the most stable.

=====

A.
First-principles (GGA-PBEsol) data for TaAlOs2 after structural relaxation, as listed in the Alexandria database.

Cell and atoms, written as POSCAR:
```
TaAlOs2
1.0
3.1126 0.0000 0.0000
0.0000 4.1270 0.0000
0.0000 0.0000 4.6333
Ta Al Os
1 1 2
direct
0.0000 0.0000 0.0000
0.5000 0.0000 0.5000
0.0000 0.5000 0.5000
0.5000 0.5000 0.0000
```

Crystal system: orthorhombic
Calculated volume (Å³ per atom): 14.879

=====

B.
First-principles (GGA-PBEsol) data for TaAlOs2 after structural relaxation, as listed in the Alexandria database.

Cell and atoms, written as POSCAR:
```
TaAlOs2
1.0
2.7868 0.0000 0.0000
0.0000 2.7868 0.0000
0.0000 0.0000 7.7361
Ta Al Os
1 1 2
direct
0.0000 0.0000 0.0000
0.5000 0.5000 0.2642
0.0000 0.0000 0.5005
0.5000 0.5000 0.7203
```

Crystal system: tetragonal
Calculated volume (Å³ per atom): 15.020

=====

Ordering by calculated energy gives the sequence B, A, with the first entry being the most stable.

=====

A.
First-principles (GGA-PBEsol) data for KScAl2 after structural relaxation, as listed in the Alexandria database.

Cell and atoms, written as POSCAR:
```
KScAl2
1.0
3.1058 0.0000 0.0000
0.0000 4.2402 0.0000
-0.0106 0.0000 7.6565
K Sc Al
1 1 2
direct
0.0000 0.0000 0.0000
0.0000 0.0000 0.5000
0.4995 0.5000 0.3261
0.5005 0.5000 0.6739
```

Crystal system: monoclinic
Calculated volume (Å³ per atom): 25.208

=====

B.
First-principles (GGA-PBEsol) data for KScAl2 after structural relaxation, as listed in the Alexandria database.

Cell and atoms, written as POSCAR:
```
KScAl2
1.0
3.0055 0.0000 0.0000
0.0000 5.5615 0.0000
0.0000 0.0000 11.3212
K Sc Al
2 2 4
direct
0.0000 0.0000 0.0000
0.5000 0.5000 0.5000
0.0000 0.5000 0.8011
0.5000 0.0000 0.3011
0.0000 0.0000 0.5265
0.0000 0.5000 0.2292
0.5000 0.0000 0.7292
0.5000 0.5000 0.0265
```

Crystal system: orthorhombic
Calculated volume (Å³ per atom): 23.654

=====

Ordering by calculated energy gives the sequence A, B, with the first entry being the most stable.

=====

A.
First-principles (GGA-PBEsol) data for Mn2HgCl after structural relaxation, as listed in the Alexandria database.

Cell and atoms, written as POSCAR:
```
Mn2HgCl
1.0
2.9947 0.0000 0.0000
0.0000 4.4354 0.0000
0.0000 0.0000 11.1293
Mn Hg Cl
4 2 2
direct
0.0000 0.0000 0.0000
0.0000 0.5000 0.2959
0.5000 0.0000 0.7959
0.5000 0.5000 0.5000
0.0000 0.0000 0.4519
0.5000 0.5000 0.9519
0.0000 0.5000 0.6825
0.5000 0.0000 0.1825
```

Crystal system: orthorhombic
Calculated volume (Å³ per atom): 18.479

=====

B.
First-principles (GGA-PBEsol) data for Mn2HgCl after structural relaxation, as listed in the Alexandria database.

Cell and atoms, written as POSCAR:
```
Mn2HgCl
1.0
4.4736 0.0000 0.0000
0.0000 4.4736 0.0000
0.0000 0.0000 6.8743
Mn Hg Cl
4 2 2
direct
0.0000 0.5000 0.2500
0.0000 0.5000 0.7500
0.5000 0.0000 0.2500
0.5000 0.0000 0.7500
0.0000 0.0000 0.0000
0.5000 0.5000 0.5000
0.0000 0.0000 0.5000
0.5000 0.5000 0.0000
```

Crystal system: tetragonal
Calculated volume (Å³ per atom): 17.197

=====

Ordering by calculated energy gives the sequence A, B, with the first entry being the most stable.